(1)
Compound: BaGaGe
Source: Alexandria
Functional: PBE
Structure: relaxed

Computed properties:
energy	-44.8	eV for the cell shown

Cell: 4.385 4.385 20.624 Å, 90.00 90.00 120.00°
Positions (direct):
Ba 0.000 0.000 0.000
Ba 0.000 0.000 0.250
Ba 0.000 0.000 0.500
Ba 0.000 0.000 0.750
Ga 0.333 0.667 0.137
Ga 0.333 0.667 0.363
Ga 0.667 0.333 0.637
Ga 0.667 0.333 0.863
Ge 0.333 0.667 0.615
Ge 0.333 0.667 0.885
Ge 0.667 0.333 0.115
Ge 0.667 0.333 0.385

(2)
Compound: K10RbNa3
Source: Alexandria
Functional: PBE
Structure: relaxed

Computed properties:
energy	-30.5	eV for the cell shown

Cell: 14.100 14.100 14.100 Å, 60.00 60.00 60.00°
Positions (direct):
K 0.000 0.000 0.342
K 0.000 0.000 0.658
K 0.000 0.342 0.000
K 0.000 0.342 0.658
K 0.000 0.658 0.000
K 0.000 0.658 0.342
K 0.143 0.619 0.619
K 0.342 0.000 0.000
K 0.342 0.000 0.658
K 0.342 0.658 0.000
K 0.381 0.381 0.381
K 0.381 0.381 0.857
K 0.381 0.857 0.381
K 0.619 0.143 0.619
K 0.619 0.619 0.143
K 0.619 0.619 0.619
K 0.658 0.000 0.000
K 0.658 0.000 0.342
K 0.658 0.342 0.000
K 0.857 0.381 0.381
Rb 0.250 0.250 0.250
Rb 0.750 0.750 0.750
Na 0.272 0.272 0.728
Na 0.272 0.728 0.272
Na 0.272 0.728 0.728
Na 0.728 0.272 0.272
Na 0.728 0.272 0.728
Na 0.728 0.728 0.272

(3)
Compound: Y2Ni3Ru
Source: Alexandria
Functional: PBE
Structure: relaxed

Computed properties:
energy	-41.8	eV for the cell shown

Cell: 5.094 5.094 5.216 Å, 119.18 119.18 59.92°
Positions (direct):
Y 0.124 0.124 0.373
Y 0.876 0.876 0.627
Ni 0.000 0.500 0.000
Ni 0.500 0.000 0.000
Ni 0.500 0.500 0.000
Ru 0.500 0.500 0.500

(4)
Compound: NaPm2Pt
Source: Alexandria
Functional: PBE
Structure: relaxed

Computed properties:
energy relative to the lowest polymorph listed for this composition	0.005	eV/atom

Cell: 9.536 9.536 9.536 Å, 25.64 25.64 25.64°
Positions (direct):
Na 0.000 0.000 0.000
Pm 0.220 0.220 0.220
Pm 0.780 0.780 0.780
Pt 0.500 0.500 0.500

(5)
Compound: BaAl2Ir
Source: Alexandria
Functional: PBE
Structure: relaxed

Computed properties:
energy	-16.3	eV for the cell shown

Cell: 5.822 5.822 3.077 Å, 98.39 98.39 119.19°
Positions (direct):
Ba 0.000 0.000 0.000
Al 0.000 0.500 0.500
Al 0.500 0.000 0.500
Ir 0.500 0.500 0.000

(6)
Compound: La2CeSm3S6
Source: Alexandria
Functional: PBE
Structure: relaxed

Computed properties:
ΔE_f (raw)	-2.077	eV per atom

Cell: 9.083 9.083 8.156 Å, 103.03 103.03 25.76°
Positions (direct):
La 0.165 0.165 0.331
La 0.835 0.835 0.669
Ce 0.500 0.500 0.000
Sm 0.167 0.167 0.835
Sm 0.500 0.500 0.500
Sm 0.833 0.833 0.165
S 0.003 0.003 0.750
S 0.333 0.333 0.923
S 0.335 0.335 0.410
S 0.665 0.665 0.590
S 0.667 0.667 0.077
S 0.997 0.997 0.250

(7)
Compound: TlAgSnTe2
Source: Alexandria
Functional: PBE
Structure: relaxed

Computed properties:
ΔE_f (raw)	-0.170	eV per atom

Cell: 8.185 5.409 8.449 Å, 90.00 111.17 90.00°
Positions (direct):
Tl 0.000 0.198 0.250
Tl 0.000 0.802 0.750
Ag 0.500 0.000 0.000
Ag 0.500 0.000 0.500
Sn 0.500 0.383 0.750
Sn 0.500 0.617 0.250
Te 0.239 0.306 0.993
Te 0.239 0.694 0.493
Te 0.761 0.306 0.507
Te 0.761 0.694 0.007

(8)
Compound: SrCa2YN
Source: Alexandria
Functional: PBE
Structure: relaxed

Computed properties:
ΔE_f (raw)	-0.268	eV per atom

Cell: 5.514 5.514 4.789 Å, 90.00 90.00 90.00°
Positions (direct):
Sr 0.000 0.000 0.000
Ca 0.000 0.500 0.500
Ca 0.500 0.000 0.500
Y 0.500 0.500 0.000
N 0.500 0.500 0.500

(9)
Compound: Ta2HBr
Source: Alexandria
Functional: PBE
Structure: relaxed

Computed properties:
energy relative to the lowest polymorph listed for this composition	0.000	eV/atom

Cell: 6.248 6.248 6.248 Å, 131.80 131.80 70.55°
Positions (direct):
Ta 0.008 0.625 0.883
Ta 0.375 0.258 0.383
Ta 0.742 0.125 0.117
Ta 0.875 0.992 0.617
H 0.000 0.000 0.000
H 0.750 0.250 0.500
Br 0.250 0.750 0.500
Br 0.500 0.500 0.000

(10)
Compound: BaHgRu2
Source: Alexandria
Functional: PBE
Structure: relaxed

Computed properties:
energy	-19.2	eV for the cell shown

Cell: 3.338 3.338 8.041 Å, 90.00 90.00 90.00°
Positions (direct):
Ba 0.000 0.000 0.000
Hg 0.500 0.500 0.326
Ru 0.000 0.000 0.568
Ru 0.500 0.500 0.689

(11)
Compound: Ho5Th
Source: Alexandria
Functional: PBE
Structure: relaxed

Computed properties:
energy relative to the lowest polymorph listed for this composition	0.002	eV/atom

Cell: 6.709 6.709 8.409 Å, 103.14 103.14 31.12°
Positions (direct):
Ho 0.000 0.000 0.000
Ho 0.052 0.052 0.610
Ho 0.331 0.331 0.664
Ho 0.666 0.666 0.337
Ho 0.723 0.723 0.946
Th 0.384 0.384 0.271

(12)
Compound: TiAlZn3
Source: Alexandria
Functional: PBE
Structure: relaxed

Computed properties:
energy relative to the lowest polymorph listed for this composition	0.000	eV/atom

Cell: 4.611 4.611 4.611 Å, 90.00 90.00 90.00°
Positions (direct):
Ti 0.000 0.000 0.000
Al 0.500 0.500 0.500
Zn 0.000 0.500 0.500
Zn 0.500 0.000 0.500
Zn 0.500 0.500 0.000